Density functional theory data (PBE) for a geometry-optimized Tb2SmAlN structure.

The structure in POSCAR format:
```
Tb2SmAlN
1.0
4.8096 0.0000 0.0000
0.0000 4.8096 0.0000
0.0000 0.0000 4.9131
Tb Sm Al N
2 1 1 1
Cartesian
0.0000 2.4048 0.0000
2.4048 0.0000 0.0000
0.0000 0.0000 2.4565
2.4048 2.4048 2.4565
0.0000 0.0000 0.0000
```

Summary:
**Symmetry**: No. 123
**Density of states at the Fermi level**: 2.36 states/eV/f.u.
**Formation energy from raw total energies**: -0.87 eV/atom